(1)
The following is a GGA-PBE calculation of a relaxed RhWAu2 crystal, from Alexandria via LeMat-Bulk.

D(E_F): 9.94 states/eV per cell
mass density: 15.7 Mg/m³
crystal system: tetragonal
E_form: 817 meV/atom
relative energy among the computed polymorphs: 769 meV per atom

Cell and atoms, written as CIF:
```
data_RhWAu2
_chemical_formula_sum 'Rh2 W2 Au4'
_symmetry_space_group_name_H-M 'P 1'
_symmetry_Int_Tables_number 1
_cell_length_a 5.855
_cell_length_b 5.855
_cell_length_c 5.855
_cell_angle_alpha 101.75
_cell_angle_beta 101.75
_cell_angle_gamma 126.34
loop_
_symmetry_equiv_pos_as_xyz
'x,y,z'
loop_
_atom_site_label
_atom_site_fract_x
_atom_site_fract_y
_atom_site_fract_z
Rh1 0.000 0.000 0.000
Rh2 0.750 0.250 0.500
W1 0.250 0.750 0.500
W2 0.500 0.500 0.000
Au1 0.131 0.625 0.006
Au2 0.375 0.381 0.506
Au3 0.619 0.125 0.994
Au4 0.875 0.869 0.494
```

***

(2)
The following is a GGA-PBE calculation of a relaxed CeCdPb crystal, from Alexandria via LeMat-Bulk.

D(E_F): 6.89 states/eV per cell
mass density: 9.2 Mg/m³
crystal system: trigonal
E_form: -241 meV/atom
relative energy among the computed polymorphs: 29 meV per atom

Cell and atoms, written as CIF:
```
data_CeCdPb
_chemical_formula_sum 'Ce1 Cd1 Pb1'
_symmetry_space_group_name_H-M 'P 1'
_symmetry_Int_Tables_number 1
_cell_length_a 5.137
_cell_length_b 5.137
_cell_length_c 3.642
_cell_angle_alpha 90.00
_cell_angle_beta 90.00
_cell_angle_gamma 120.00
loop_
_symmetry_equiv_pos_as_xyz
'x,y,z'
loop_
_atom_site_label
_atom_site_fract_x
_atom_site_fract_y
_atom_site_fract_z
Ce1 0.000 0.000 0.000
Cd1 0.667 0.333 0.576
Pb1 0.333 0.667 0.427
```

***

(3)
The following is a GGA-PBE calculation of a relaxed U2Al8Fe crystal, from Alexandria via LeMat-Bulk.

D(E_F): 11.46 states/eV per cell
mass density: 6.3 Mg/m³
crystal system: tetragonal
E_form: -197 meV/atom

Cell and atoms, written as CIF:
```
data_U2Al8Fe
_chemical_formula_sum 'U2 Al8 Fe1'
_symmetry_space_group_name_H-M 'P 1'
_symmetry_Int_Tables_number 1
_cell_length_a 4.245
_cell_length_b 4.245
_cell_length_c 11.020
_cell_angle_alpha 90.00
_cell_angle_beta 90.00
_cell_angle_gamma 90.00
loop_
_symmetry_equiv_pos_as_xyz
'x,y,z'
loop_
_atom_site_label
_atom_site_fract_x
_atom_site_fract_y
_atom_site_fract_z
U1 0.000 0.000 0.194
U2 0.000 0.000 0.806
Al1 0.000 0.500 0.000
Al2 0.000 0.500 0.382
Al3 0.000 0.500 0.618
Al4 0.500 0.000 0.000
Al5 0.500 0.000 0.382
Al6 0.500 0.000 0.618
Al7 0.500 0.500 0.193
Al8 0.500 0.500 0.807
Fe1 0.000 0.000 0.500
```

***

(4)
The following is a GGA-PBE calculation of a relaxed Ca3Y2ErTe6 crystal, from Alexandria via LeMat-Bulk.

D(E_F): 5.10 states/eV per cell
mass density: 5.6 Mg/m³
uncorrected formation energy: -1455 meV/atom
crystal system: monoclinic

Cell and atoms, written as CIF:
```
data_Ca3Y2ErTe6
_chemical_formula_sum 'Ca3 Y2 Er1 Te6'
_symmetry_space_group_name_H-M 'P 1'
_symmetry_Int_Tables_number 1
_cell_length_a 7.600
_cell_length_b 7.600
_cell_length_c 7.750
_cell_angle_alpha 99.43
_cell_angle_beta 99.43
_cell_angle_gamma 119.94
loop_
_symmetry_equiv_pos_as_xyz
'x,y,z'
loop_
_atom_site_label
_atom_site_fract_x
_atom_site_fract_y
_atom_site_fract_z
Ca1 0.000 0.000 0.000
Ca2 0.332 0.668 0.000
Ca3 0.668 0.332 0.000
Y1 0.166 0.834 0.500
Y2 0.834 0.166 0.500
Er1 0.500 0.500 0.500
Te1 0.088 0.419 0.256
Te2 0.251 0.251 0.745
Te3 0.419 0.088 0.256
Te4 0.581 0.912 0.744
Te5 0.749 0.749 0.255
Te6 0.912 0.581 0.744
```

***

(5)
The following is a GGA-PBE calculation of a relaxed AcPrHgI crystal, from Alexandria via LeMat-Bulk.

D(E_F): 4.94 states/eV per cell
mass density: 8.9 Mg/m³
uncorrected formation energy: -545 meV/atom
crystal system: cubic

Cell and atoms, written as CIF:
```
data_AcPrHgI
_chemical_formula_sum 'Ac1 Pr1 Hg1 I1'
_symmetry_space_group_name_H-M 'P 1'
_symmetry_Int_Tables_number 1
_cell_length_a 5.688
_cell_length_b 5.688
_cell_length_c 5.688
_cell_angle_alpha 60.00
_cell_angle_beta 60.00
_cell_angle_gamma 60.00
loop_
_symmetry_equiv_pos_as_xyz
'x,y,z'
loop_
_atom_site_label
_atom_site_fract_x
_atom_site_fract_y
_atom_site_fract_z
Ac1 0.000 0.000 0.000
Pr1 0.500 0.500 0.500
Hg1 0.750 0.750 0.750
I1 0.250 0.250 0.250
```

***

(6)
The following is a GGA-PBE calculation of a relaxed Ba2TmH12Rh3 crystal, from Alexandria via LeMat-Bulk.

final energy: -4.374 eV/atom
D(E_F): 2.87 states/eV per cell
mass density: 6.4 Mg/m³
crystal system: trigonal

Cell and atoms, written as CIF:
```
data_Ba2TmH12Rh3
_chemical_formula_sum 'Ba2 Tm1 H12 Rh3'
_symmetry_space_group_name_H-M 'P 1'
_symmetry_Int_Tables_number 1
_cell_length_a 6.229
_cell_length_b 6.229
_cell_length_c 6.229
_cell_angle_alpha 67.68
_cell_angle_beta 67.68
_cell_angle_gamma 67.68
loop_
_symmetry_equiv_pos_as_xyz
'x,y,z'
loop_
_atom_site_label
_atom_site_fract_x
_atom_site_fract_y
_atom_site_fract_z
Ba1 0.118 0.118 0.118
Ba2 0.882 0.882 0.882
Tm1 0.500 0.500 0.500
H1 0.114 0.618 0.618
H2 0.216 0.216 0.582
H3 0.216 0.582 0.216
H4 0.382 0.382 0.886
H5 0.382 0.886 0.382
H6 0.418 0.784 0.784
H7 0.582 0.216 0.216
H8 0.618 0.114 0.618
H9 0.618 0.618 0.114
H10 0.784 0.418 0.784
H11 0.784 0.784 0.418
H12 0.886 0.382 0.382
Rh1 0.000 0.500 0.500
Rh2 0.500 0.000 0.500
Rh3 0.500 0.500 0.000
```